Record 1
Entry from Alexandria via LeMat-Bulk: a relaxed structure of Be3C (PBE-GGA).

Summary:
calculated formation energy: 0.640 eV per atom
DOS at the Fermi energy: 0.590 states/eV per cell
final energy: -4.460 eV/atom

abc: 4.0355 4.0355 4.0355
angles: 140.53 132.92 63.06
Closest atoms and distances in Å follow each position.
Fractional positions:
C 0.5000 0.0000 0.5000  4 Be 1.86
Be 0.3155 0.3155 0.0000  2 C 1.86, 2 Be 2.05
Be 0.0000 0.5000 0.5000  4 Be 2.05, 4 C 2.11
Be 0.6845 0.6845 0.0000  2 C 1.86, 2 Be 2.05



Record 2
Entry from Alexandria via LeMat-Bulk: a relaxed structure of ZnBi2Pt2 (PBE-GGA).

Summary:
calculated formation energy: -0.132 eV per atom
DOS at the Fermi energy: 5.127 states/eV per cell
final energy: -4.356 eV/atom

abc: 7.1363 7.1363 4.2421
angles: 90.00 90.00 90.00
Closest atoms and distances in Å follow each position.
Fractional positions:
Pt 0.3558 0.8558 0.0000  2 Zn 2.74, 6 Bi 2.86-3.06, 1 Pt 2.91
Pt 0.1442 0.3558 0.0000  2 Zn 2.74, 6 Bi 2.86-3.06, 1 Pt 2.91
Pt 0.6442 0.1442 0.0000  2 Zn 2.74, 6 Bi 2.86-3.06, 1 Pt 2.91
Pt 0.8558 0.6442 0.0000  2 Zn 2.74, 6 Bi 2.86-3.06, 1 Pt 2.91
Bi 0.3350 0.1650 0.5000  6 Pt 2.86-3.06
Bi 0.1650 0.6650 0.5000  6 Pt 2.86-3.06
Bi 0.6650 0.8350 0.5000  6 Pt 2.86-3.06
Bi 0.8350 0.3350 0.5000  6 Pt 2.86-3.06
Zn 0.0000 0.0000 0.0000  4 Pt 2.74
Zn 0.5000 0.5000 0.0000  4 Pt 2.74



Record 3
Entry from Alexandria via LeMat-Bulk: a relaxed structure of Sn2Pt2Au (PBE-GGA).

Summary:
calculated formation energy: -0.293 eV per atom
DOS at the Fermi energy: 4.266 states/eV per cell
final energy: -4.966 eV/atom

abc: 7.3922 7.3922 3.5940
angles: 90.00 90.00 90.00
Closest atoms and distances in Å follow each position.
Fractional positions:
Pt 0.3609 0.8609 0.0000  6 Sn 2.75-2.87, 2 Au 2.86, 1 Pt 2.91
Pt 0.8609 0.6391 0.0000  6 Sn 2.75-2.87, 2 Au 2.86, 1 Pt 2.91
Pt 0.1391 0.3609 0.0000  6 Sn 2.75-2.87, 2 Au 2.86, 1 Pt 2.91
Pt 0.6391 0.1391 0.0000  6 Sn 2.75-2.87, 2 Au 2.86, 1 Pt 2.91
Sn 0.6619 0.8381 0.5000  6 Pt 2.75-2.87
Sn 0.8381 0.3381 0.5000  6 Pt 2.75-2.87
Sn 0.3381 0.1619 0.5000  6 Pt 2.75-2.87
Sn 0.1619 0.6619 0.5000  6 Pt 2.75-2.87
Au 0.0000 0.0000 0.0000  4 Pt 2.86
Au 0.5000 0.5000 0.0000  4 Pt 2.86



Record 4
Entry from Alexandria via LeMat-Bulk: a relaxed structure of Ga2AgSb (PBE-GGA).

Summary:
DOS at the Fermi energy: 2.095 states/eV per cell
raw formation energy: 10 kJ per mole of atoms
final energy: -3.154 eV/atom

abc: 4.4183 4.3897 4.3897
angles: 90.00 90.00 90.00
Closest atoms and distances in Å follow each position.
Fractional positions:
Ga 0.0000 0.0000 0.5000  4 Ga 3.10, 4 Sb 3.11, 4 Ag 3.11
Ga 0.0000 0.5000 0.0000  4 Ga 3.10, 4 Ag 3.11, 4 Sb 3.11
Ag 0.5000 0.0000 0.0000  4 Sb 3.10, 8 Ga 3.11
Sb 0.5000 0.5000 0.5000  4 Ag 3.10, 8 Ga 3.11



Record 5
Entry from Alexandria via LeMat-Bulk: a relaxed structure of Ca2HgPd5Au2 (PBE-GGA).

Summary:
calculated formation energy: -0.497 eV per atom
DOS at the Fermi energy: 6.932 states/eV per cell
final energy: -4.179 eV/atom

abc: 4.1735 9.6736 9.6736
angles: 90.00 90.00 90.00
Closest atoms and distances in Å follow each position.
Fractional positions:
Pd 0.5000 0.3003 0.5649  2 Au 2.75, 3 Pd 2.87-2.97, 2 Hg 2.91
Pd 0.5000 0.4351 0.3003  2 Au 2.75, 3 Pd 2.87-2.97, 2 Hg 2.91
Pd 0.5000 0.5000 0.0000  4 Au 2.70, 4 Pd 2.97
Pd 0.5000 0.0649 0.8003  2 Au 2.75, 3 Pd 2.87-2.97, 2 Hg 2.91
Pd 0.5000 0.1997 0.0649  2 Au 2.75, 3 Pd 2.87-2.97, 2 Hg 2.91
Pd 0.5000 0.9351 0.1997  2 Au 2.75, 3 Pd 2.87-2.97, 2 Hg 2.91
Pd 0.5000 0.0000 0.5000  4 Au 2.70, 4 Pd 2.97
Pd 0.5000 0.5649 0.6997  2 Au 2.75, 3 Pd 2.87-2.97, 2 Hg 2.91
Pd 0.5000 0.8003 0.9351  2 Au 2.75, 3 Pd 2.87-2.97, 2 Hg 2.91
Pd 0.5000 0.6997 0.4351  2 Au 2.75, 3 Pd 2.87-2.97, 2 Hg 2.91
Au 0.0000 0.3744 0.1256  6 Pd 2.70-2.75, 3 Ca 2.77-2.91
Au 0.0000 0.6256 0.8744  6 Pd 2.70-2.75, 3 Ca 2.77-2.91
Au 0.0000 0.8744 0.3744  6 Pd 2.70-2.75, 3 Ca 2.77-2.91
Au 0.0000 0.1256 0.6256  6 Pd 2.70-2.75, 3 Ca 2.77-2.91
Hg 0.0000 0.0000 0.0000  8 Pd 2.91
Hg 0.0000 0.5000 0.5000  8 Pd 2.91
Ca 0.0000 0.8280 0.6720  3 Au 2.77-2.91
Ca 0.0000 0.1720 0.3280  3 Au 2.77-2.91
Ca 0.0000 0.6720 0.1720  3 Au 2.77-2.91
Ca 0.0000 0.3280 0.8280  3 Au 2.77-2.91



Record 6
Entry from Alexandria via LeMat-Bulk: a relaxed structure of Ca3Tm4Te8 (PBE-GGA).

Summary:
DOS at the Fermi energy: 4.033 states/eV per cell
raw formation energy: -138 kJ per mole of atoms
final energy: -4.700 eV/atom

abc: 8.7002 8.7414 8.7414
angles: 90.20 119.63 119.63
Closest atoms and distances in Å follow each position.
Fractional positions:
Tm 0.0000 0.0000 0.0000  6 Te 3.07-3.11
Tm 0.0000 0.5000 0.0000  6 Te 3.09-3.10
Tm 0.0000 0.0000 0.5000  6 Te 3.09-3.10
Tm 0.5000 0.0000 0.0000  6 Te 3.03-3.06
Ca 0.5000 0.0000 0.5000  6 Te 3.09-3.10
Ca 0.5000 0.5000 0.5000  6 Te 3.13-3.15
Ca 0.5000 0.5000 0.0000  6 Te 3.09-3.10
Te 0.5000 0.7530 0.2470  3 Tm 3.06-3.10, 3 Ca 3.09-3.13
Te 0.5053 0.7569 0.7569  2 Tm 3.03-3.07, 3 Ca 3.10-3.14
Te 0.0000 0.2497 0.7503  3 Tm 3.09, 2 Ca 3.10
Te 0.0000 0.7503 0.2497  3 Tm 3.09, 2 Ca 3.10
Te 0.0070 0.7517 0.7517  4 Tm 3.06-3.11, 1 Ca 3.15
Te 0.9930 0.2483 0.2483  4 Tm 3.06-3.11, 1 Ca 3.15
Te 0.5000 0.2470 0.7530  3 Tm 3.06-3.10, 3 Ca 3.09-3.13
Te 0.4947 0.2431 0.2431  2 Tm 3.03-3.07, 3 Ca 3.10-3.14



Record 7
Entry from Alexandria via LeMat-Bulk: a relaxed structure of AcNd2Ag (PBE-GGA).

Summary:
calculated formation energy: 0.147 eV per atom
DOS at the Fermi energy: 6.243 states/eV per cell
final energy: -3.977 eV/atom

abc: 5.6798 5.6798 5.6798
angles: 60.00 60.00 60.00
Closest atoms and distances in Å follow each position.
Fractional positions:
Nd 0.2500 0.2500 0.2500  4 Ag 3.48, 4 Ac 3.48
Nd 0.7500 0.7500 0.7500  4 Ag 3.48, 4 Ac 3.48
Ac 0.0000 0.0000 0.0000  8 Nd 3.48
Ag 0.5000 0.5000 0.5000  8 Nd 3.48



Record 8
Entry from Alexandria via LeMat-Bulk: a relaxed structure of Mg15Tl4Cd (PBE-GGA).

Summary:
calculated formation energy: -0.044 eV per atom
DOS at the Fermi energy: 5.965 states/eV per cell
final energy: -1.759 eV/atom

abc: 4.5490 4.5490 22.1551
angles: 90.00 90.00 90.00
Closest atoms and distances in Å follow each position.
Fractional positions:
Mg 0.0000 0.5000 0.5000  8 Mg 3.19-3.22, 4 Tl 3.19
Mg 0.5000 0.0000 0.2983  4 Tl 3.18, 8 Mg 3.19-3.22
Mg 0.5000 0.0000 0.5000  8 Mg 3.19-3.22, 4 Tl 3.19
Mg 0.5000 0.5000 0.0000  8 Mg 3.12, 4 Cd 3.22
Mg 0.0000 0.5000 0.0967  8 Mg 3.12-3.22, 2 Cd 3.12, 2 Tl 3.19
Mg 0.0000 0.5000 0.9033  2 Cd 3.12, 8 Mg 3.12-3.22, 2 Tl 3.19
Mg 0.5000 0.5000 0.3992  8 Mg 3.19, 4 Tl 3.22
Mg 0.5000 0.0000 0.0967  8 Mg 3.12-3.22, 2 Cd 3.12, 2 Tl 3.19
Mg 0.0000 0.5000 0.7017  4 Tl 3.18, 8 Mg 3.19-3.22
Mg 0.5000 0.0000 0.9033  8 Mg 3.12-3.22, 2 Cd 3.12, 2 Tl 3.19
Mg 0.5000 0.5000 0.8025  8 Mg 3.19, 4 Tl 3.22
Mg 0.5000 0.5000 0.1975  8 Mg 3.19, 4 Tl 3.22
Mg 0.5000 0.0000 0.7017  4 Tl 3.18, 8 Mg 3.19-3.22
Mg 0.0000 0.5000 0.2983  4 Tl 3.18, 8 Mg 3.19-3.22
Mg 0.5000 0.5000 0.6008  8 Mg 3.19, 4 Tl 3.22
Tl 0.0000 0.0000 0.6010  12 Mg 3.18-3.22
Tl 0.0000 0.0000 0.8021  12 Mg 3.18-3.22
Tl 0.0000 0.0000 0.1979  12 Mg 3.18-3.22
Tl 0.0000 0.0000 0.3990  12 Mg 3.18-3.22
Cd 0.0000 0.0000 0.0000  12 Mg 3.12-3.22



Which value of final energy does entry 4 give? -3.154 eV/atom



Which value of DOS at the Fermi energy does entry 8 give? 5.965 states/eV per cell



Repeat the second record exactly.
Entry from Alexandria via LeMat-Bulk: a relaxed structure of ZnBi2Pt2 (PBE-GGA).

Summary:
calculated formation energy: -0.132 eV per atom
DOS at the Fermi energy: 5.127 states/eV per cell
final energy: -4.356 eV/atom

abc: 7.1363 7.1363 4.2421
angles: 90.00 90.00 90.00
Closest atoms and distances in Å follow each position.
Fractional positions:
Pt 0.3558 0.8558 0.0000  2 Zn 2.74, 6 Bi 2.86-3.06, 1 Pt 2.91
Pt 0.1442 0.3558 0.0000  2 Zn 2.74, 6 Bi 2.86-3.06, 1 Pt 2.91
Pt 0.6442 0.1442 0.0000  2 Zn 2.74, 6 Bi 2.86-3.06, 1 Pt 2.91
Pt 0.8558 0.6442 0.0000  2 Zn 2.74, 6 Bi 2.86-3.06, 1 Pt 2.91
Bi 0.3350 0.1650 0.5000  6 Pt 2.86-3.06
Bi 0.1650 0.6650 0.5000  6 Pt 2.86-3.06
Bi 0.6650 0.8350 0.5000  6 Pt 2.86-3.06
Bi 0.8350 0.3350 0.5000  6 Pt 2.86-3.06
Zn 0.0000 0.0000 0.0000  4 Pt 2.74
Zn 0.5000 0.5000 0.0000  4 Pt 2.74